The following is a PBE calculation of PW3I after structural relaxation, from Alexandria.

Results
Total moment (μB per atom): 0.00
ΔE_f (raw) (eV/atom): 1.39
SG: Pm-3m
Mass density (Mg/m³): 12.3

Unit cell a=4.5715 b=4.5715 c=4.5715 alpha=90.00 beta=90.00 gamma=90.00
Fractional coordinates of all 5 atoms:
P: 0.0000 0.0000 0.0000
W: 0.0000 0.0000 0.5000
W: 0.0000 0.5000 0.0000
W: 0.5000 0.0000 0.0000
I: 0.5000 0.5000 0.5000



The following is a PBE calculation of P3WI after structural relaxation, from Alexandria.

Results
Total moment (μB per atom): 0.00
ΔE_f (raw) (eV/atom): 0.50
SG: Pm-3m
Mass density (Mg/m³): 6.2

Unit cell a=4.7703 b=4.7703 c=4.7703 alpha=90.00 beta=90.00 gamma=90.00
Fractional coordinates of all 5 atoms:
P: 0.0000 0.0000 0.5000
P: 0.0000 0.5000 0.0000
P: 0.5000 0.0000 0.0000
W: 0.0000 0.0000 0.0000
I: 0.5000 0.5000 0.5000



The following is a PBE calculation of P3WI after structural relaxation, from Alexandria.

Results
Total moment (μB per atom): 0.48
ΔE_f (raw) (eV/atom): 2.34
SG: Pm-3m
Mass density (Mg/m³): 5.5

Unit cell a=4.9496 b=4.9496 c=4.9496 alpha=90.00 beta=90.00 gamma=90.00
Fractional coordinates of all 5 atoms:
P: 0.0000 0.0000 0.5000
P: 0.0000 0.5000 0.0000
P: 0.5000 0.0000 0.0000
W: 0.5000 0.5000 0.5000
I: 0.0000 0.0000 0.0000



What did the first record say?
The following is a PBE calculation of PW3I after structural relaxation, from Alexandria.

Results
Total moment (μB per atom): 0.00
ΔE_f (raw) (eV/atom): 1.39
SG: Pm-3m
Mass density (Mg/m³): 12.3

Unit cell a=4.5715 b=4.5715 c=4.5715 alpha=90.00 beta=90.00 gamma=90.00
Fractional coordinates of all 5 atoms:
P: 0.0000 0.0000 0.0000
W: 0.0000 0.0000 0.5000
W: 0.0000 0.5000 0.0000
W: 0.5000 0.0000 0.0000
I: 0.5000 0.5000 0.5000